DFT (PBE) results for an optimized crystal structure of PmZn2CuNi.

Lattice parameters (Å, degrees): 6.252 6.252 6.252 144.61 142.06 52.85
Atoms (fractional coordinates):
Pm: 0.000 0.000 0.000
Zn: 0.376 0.376 0.000
Zn: 0.736 0.236 0.500
Cu: 0.227 0.727 0.500
Ni: 0.594 0.594 0.000

DFT total energy (Ry/atom): -0.2715
ΔE_f (eV/atom): -0.258
Size of the total moment (μB per atom): 0.0000